Material: Sm2Tm4Te9
Method: DFT, GGA-PBE
State: optimized geometry

a = 7.689 Å, b = 7.689 Å, c = 21.028 Å
α = 90.00°, β = 90.01°, γ = 60.00°
Fractional coordinates of all 30 atoms:
Sm: 0.000 0.000 0.655
Sm: 0.000 0.000 0.155
Sm: 0.000 0.000 0.845
Sm: 0.000 0.000 0.345
Te: 0.656 0.362 0.917
Te: 0.656 0.982 0.417
Te: 0.362 0.656 0.417
Te: 0.981 0.362 0.417
Te: 0.638 0.344 0.583
Te: 0.982 0.657 0.917
Te: 0.019 0.638 0.583
Te: 0.018 0.343 0.083
Te: 0.679 0.321 0.250
Te: 0.638 0.018 0.083
Te: 0.344 0.638 0.083
Te: 0.680 0.000 0.750
Te: 0.000 0.321 0.750
Te: 0.362 0.982 0.917
Te: 0.000 0.679 0.250
Te: 0.344 0.018 0.583
Te: 0.321 0.679 0.750
Te: 0.320 0.000 0.250
Tm: 0.667 0.667 0.509
Tm: 0.667 0.667 0.009
Tm: 0.333 0.333 0.491
Tm: 0.333 0.333 0.176
Tm: 0.333 0.333 0.991
Tm: 0.666 0.667 0.324
Tm: 0.334 0.333 0.676
Tm: 0.667 0.667 0.824

Values from the calculation:
SG: P-3c1 (165)
Formation energy without anion corrections, eV per atom: -1.343

---

Material: Pm2Pr4DyTm
Method: DFT, GGA-PBE
State: optimized geometry

a = 5.196 Å, b = 5.166 Å, c = 11.459 Å
α = 63.12°, β = 90.00°, γ = 90.00°
Fractional coordinates of all 8 atoms:
Tm: 0.000 0.500 0.500
Dy: 0.500 0.500 0.000
Pr: 0.500 0.251 0.750
Pr: 0.000 0.248 0.251
Pr: 0.500 0.749 0.250
Pr: 0.000 0.752 0.749
Pm: 0.500 0.000 0.500
Pm: 0.000 0.000 0.000

Values from the calculation:
Formation energy, kJ/mol of formula units: 11
Fermi-level density of states, states/eV per cell: 10.947
SG: P2/m (10)

---

Material: CdBPt3
Method: DFT, GGA-PBE
State: optimized geometry

a = 5.628 Å, b = 5.628 Å, c = 5.628 Å
α = 58.21°, β = 58.21°, γ = 58.21°
Fractional coordinates of all 5 atoms:
B: 0.072 0.072 0.072
Pt: 0.820 0.336 0.820
Pt: 0.336 0.820 0.820
Pt: 0.820 0.820 0.336
Cd: 0.827 0.827 0.827

Values from the calculation:
Formation energy, kJ/mol of formula units: 173
Fermi-level density of states, states/eV per cell: 2.158
Distance to the lowest polymorph of the same formula, meV/atom: 710.2
SG: R3m (160)

---

Material: CePr6Mg
Method: DFT, GGA-PBE
State: optimized geometry

a = 5.904 Å, b = 5.904 Å, c = 8.754 Å
α = 70.29°, β = 70.27°, γ = 90.00°
Fractional coordinates of all 8 atoms:
Pr: 0.257 0.257 0.485
Pr: 0.886 0.387 0.227
Pr: 0.613 0.113 0.773
Pr: 0.114 0.613 0.773
Pr: 0.387 0.887 0.227
Pr: 0.743 0.743 0.515
Mg: 0.000 0.000 0.000
Ce: 0.500 0.500 0.000

Values from the calculation:
Formation energy, kJ/mol of formula units: 65
Fermi-level density of states, states/eV per cell: 15.730
SG: I4/mmm (139)

---

Material: CrCoCu2
Method: DFT, GGA-PBE
State: optimized geometry

a = 2.544 Å, b = 3.509 Å, c = 5.186 Å
α = 90.00°, β = 90.00°, γ = 90.00°
Fractional coordinates of all 4 atoms:
Cr: 0.500 0.500 0.728
Cu: 0.500 0.500 0.247
Cu: 0.000 0.000 0.007
Co: 0.000 0.000 0.518

Values from the calculation:
Formation energy, kJ/mol of formula units: 74
Fermi-level density of states, states/eV per cell: 3.316
SG: Pmm2 (25)

---

Material: Sr4CuRu3O12
Method: DFT, GGA-PBE
State: optimized geometry

a = 6.877 Å, b = 6.877 Å, c = 6.877 Å
α = 109.47°, β = 109.47°, γ = 109.47°
Fractional coordinates of all 20 atoms:
O: 0.000 0.255 0.255
O: 0.745 0.000 0.745
O: 0.745 0.745 0.000
O: 0.250 0.750 0.500
O: 0.255 0.255 0.000
O: 0.750 0.250 0.500
O: 0.255 0.000 0.255
O: 0.000 0.745 0.745
O: 0.750 0.500 0.250
O: 0.250 0.500 0.750
O: 0.500 0.250 0.750
O: 0.500 0.750 0.250
Cu: 0.000 0.000 0.000
Ru: 0.500 0.000 0.500
Ru: 0.500 0.500 0.000
Ru: 0.000 0.500 0.500
Sr: 0.000 0.500 0.000
Sr: 0.000 0.000 0.500
Sr: 0.500 0.000 0.000
Sr: 0.500 0.500 0.500

Values from the calculation:
Fermi-level density of states, states/eV per cell: 16.913
SG: Im-3m (229)
Formation energy without anion corrections, eV per atom: -1.676

---

Material: Tb3Al6Au5
Method: DFT, GGA-PBE
State: optimized geometry

a = 4.373 Å, b = 9.593 Å, c = 12.962 Å
α = 90.00°, β = 90.00°, γ = 90.00°
Fractional coordinates of all 28 atoms:
Al: 0.500 0.020 0.653
Al: 0.000 0.980 0.153
Al: 0.500 0.402 0.174
Al: 0.500 0.957 0.000
Al: 0.500 0.020 0.347
Al: 0.000 0.598 0.326
Al: 0.500 0.402 0.826
Al: 0.500 0.571 0.000
Al: 0.000 0.598 0.674
Al: 0.000 0.429 0.500
Al: 0.000 0.043 0.500
Al: 0.000 0.980 0.847
Au: 0.500 0.209 0.500
Au: 0.500 0.471 0.375
Au: 0.500 0.130 0.844
Au: 0.500 0.471 0.625
Au: 0.000 0.791 0.000
Au: 0.500 0.130 0.156
Au: 0.000 0.870 0.656
Au: 0.000 0.529 0.875
Au: 0.000 0.529 0.125
Au: 0.000 0.870 0.344
Tb: 0.000 0.249 0.000
Tb: 0.000 0.248 0.699
Tb: 0.500 0.751 0.500
Tb: 0.500 0.752 0.199
Tb: 0.500 0.752 0.801
Tb: 0.000 0.248 0.301

Values from the calculation:
Formation energy, kJ/mol of formula units: -946
Fermi-level density of states, states/eV per cell: 14.081
SG: Pmmn (59)

---

Material: TmInSnBr6
Method: DFT, GGA-PBE
State: optimized geometry

a = 7.506 Å, b = 7.505 Å, c = 7.125 Å
α = 90.00°, β = 89.99°, γ = 60.00°
Fractional coordinates of all 9 atoms:
Br: 0.022 0.626 0.727
Br: 0.022 0.352 0.273
Br: 0.352 0.022 0.727
Br: 0.626 0.022 0.273
Br: 0.626 0.352 0.727
Br: 0.352 0.626 0.273
In: 0.000 0.000 0.000
Tm: 0.333 0.333 0.500
Sn: 0.667 0.667 0.500

Values from the calculation:
Fermi-level density of states, states/eV per cell: 0.000
SG: P312 (149)
Formation energy without anion corrections, eV per atom: -1.243